No. 1
{
  "formula": "Y3PuBi4",
  "functional": "PBE",
  "state": "optimized geometry",
  "lattice": [[-2.587, -6.972, -2.336], [0.841, -0.002, 7.745], [-8.487, 2.839, 0.923]],
  "species": ["Y", "Bi", "Y", "Bi", "Bi", "Bi", "Y", "Y", "Bi", "Bi", "Bi", "Pu", "Y", "Pu", "Y", "Bi"],
  "frac_coords": [[0.750, 0.000, 0.376], [0.000, 0.251, 0.125], [0.250, 0.500, 0.874], [0.500, 0.749, 0.125], [0.499, 0.749, 0.624], [0.999, 0.749, 0.376], [0.750, 0.500, 0.126], [0.750, 0.500, 0.625], [0.000, 0.749, 0.875], [0.501, 0.251, 0.376], [0.001, 0.251, 0.624], [0.250, 0.000, 0.126], [0.250, 0.500, 0.375], [0.750, 0.000, 0.874], [0.250, 0.000, 0.624], [0.500, 0.251, 0.875]],
  "polymorph_energy_ev_per_atom": 0.0000,
  "crystal_system": "monoclinic",
  "rho_g_cm3": 8.7,
  "sg": "No. 13",
  "e_form_ev_per_atom": -0.75
}

No. 2
{
  "formula": "PuZnBi2",
  "functional": "PBE",
  "state": "optimized geometry",
  "lattice": [[4.809, 0.000, 0.000], [2.404, 4.164, 0.000], [2.404, 1.388, 8.437]],
  "species": ["Pu", "Bi", "Zn", "Bi"],
  "frac_coords": [[0.500, 0.500, 0.500], [0.104, 0.104, 0.688], [0.000, 0.000, 0.000], [0.896, 0.896, 0.312]],
  "crystal_system": "trigonal",
  "rho_g_cm3": 7.1,
  "sg": "No. 166",
  "e_form_ev_per_atom": 0.25
}

No. 3
{
  "formula": "PuZnBi2",
  "functional": "PBE",
  "state": "optimized geometry",
  "lattice": [[4.569, 0.000, 0.000], [2.284, 3.957, 0.000], [2.284, 1.319, 6.742]],
  "species": ["Bi", "Pu", "Bi", "Zn"],
  "frac_coords": [[0.087, 0.087, 0.738], [0.666, 0.666, 0.001], [0.246, 0.246, 0.262], [0.500, 0.500, 0.499]],
  "crystal_system": "trigonal",
  "rho_g_cm3": 9.9,
  "sg": "No. 160",
  "e_form_ev_per_atom": 0.03
}

No. 4
{
  "formula": "Pu4Zn3Bi8",
  "functional": "PBE",
  "state": "optimized geometry",
  "lattice": [[-4.988, 1.630, 2.558], [-2.963, -3.675, -3.435], [1.413, -9.183, 8.605]],
  "species": ["Bi", "Pu", "Zn", "Pu", "Bi", "Zn", "Bi", "Bi", "Bi", "Bi", "Pu", "Bi", "Zn", "Bi", "Pu"],
  "frac_coords": [[0.500, 0.500, 0.744], [0.000, 0.500, 0.158], [0.000, 0.000, 0.500], [0.500, 0.000, 0.842], [0.000, 0.000, 0.751], [0.000, 0.000, 0.000], [0.500, 0.000, 0.086], [0.500, 0.500, 0.256], [0.000, 0.500, 0.414], [0.000, 0.500, 0.914], [0.500, 0.000, 0.342], [0.000, 0.000, 0.249], [0.500, 0.500, 0.500], [0.500, 0.000, 0.586], [0.000, 0.500, 0.658]],
  "crystal_system": "tetragonal",
  "rho_g_cm3": 10.9,
  "sg": "No. 115",
  "e_form_ev_per_atom": 0.61
}

No. 5
{
  "formula": "PuZnBi2",
  "functional": "PBE",
  "state": "optimized geometry",
  "lattice": [[-0.995, 0.303, 4.324], [-4.359, -1.955, -0.866], [1.842, -4.432, 0.734]],
  "species": ["Zn", "Pu", "Bi", "Bi"],
  "frac_coords": [[0.500, 0.000, 0.000], [0.500, 0.500, 0.500], [0.000, 0.500, 0.000], [0.000, 0.000, 0.500]],
  "crystal_system": "tetragonal",
  "rho_g_cm3": 11.5,
  "sg": "No. 123",
  "e_form_ev_per_atom": -0.20
}

No. 6
{
  "formula": "PuZrBi2",
  "functional": "PBE",
  "state": "optimized geometry",
  "lattice": [[3.359, 0.000, 0.000], [0.000, 5.661, 0.000], [0.000, 0.000, 5.661]],
  "species": ["Bi", "Zr", "Pu", "Bi"],
  "frac_coords": [[0.000, 0.500, 0.000], [0.500, 0.000, 0.000], [0.500, 0.500, 0.500], [0.000, 0.000, 0.500]],
  "polymorph_energy_ev_per_atom": 0.0931,
  "crystal_system": "tetragonal",
  "rho_g_cm3": 11.6,
  "sg": "No. 123",
  "e_form_ev_per_atom": -0.23
}

No. 7
{
  "formula": "PuZrBi2",
  "functional": "PBE",
  "state": "optimized geometry",
  "lattice": [[-1.057, 3.409, -2.476], [0.192, -3.974, -1.743], [-6.420, -1.984, 3.818]],
  "species": ["Zr", "Pu", "Bi", "Bi"],
  "frac_coords": [[0.000, 0.000, 0.000], [0.000, 0.500, 0.500], [0.488, 0.744, 0.233], [0.512, 0.256, 0.767]],
  "polymorph_energy_ev_per_atom": 0.0000,
  "crystal_system": "trigonal",
  "rho_g_cm3": 10.5,
  "sg": "No. 166",
  "e_form_ev_per_atom": -0.32
}

No. 8
{
  "formula": "PuZrBi3",
  "functional": "PBE",
  "state": "optimized geometry",
  "lattice": [[6.576, 0.000, 0.000], [0.000, 6.586, 0.000], [0.000, 0.000, 13.503]],
  "species": ["Pu", "Bi", "Bi", "Pu", "Pu", "Bi", "Bi", "Zr", "Pu", "Bi", "Zr", "Bi", "Bi", "Bi", "Zr", "Bi", "Zr", "Bi", "Bi", "Bi"],
  "frac_coords": [[0.750, 0.488, 0.683], [0.250, 0.631, 0.080], [0.750, 0.369, 0.920], [0.250, 0.012, 0.683], [0.250, 0.512, 0.317], [0.500, 0.750, 0.504], [0.250, 0.006, 0.250], [0.500, 0.250, 0.100], [0.750, 0.988, 0.317], [0.500, 0.250, 0.496], [0.000, 0.750, 0.900], [0.750, 0.869, 0.080], [0.750, 0.994, 0.750], [0.000, 0.250, 0.496], [0.000, 0.250, 0.100], [0.250, 0.506, 0.750], [0.500, 0.750, 0.900], [0.750, 0.494, 0.250], [0.000, 0.750, 0.504], [0.250, 0.131, 0.920]],
  "crystal_system": "orthorhombic",
  "rho_g_cm3": 10.9,
  "sg": "No. 57",
  "e_form_ev_per_atom": -0.29
}